(1)
Below is an optimized crystal structure of CrPbSe2, with properties calculated at the PBE level.

a b c (Å): 6.378 6.378 7.556
angles (deg): 65.04 65.04 90.00
Site moments in Bohr magnetons follow the coordinates.
Sites, in units of the cell vectors:
Pb1 0.000 0.000 0.000  0.08
Pb2 0.750 0.250 0.500  0.08
Cr1 0.500 0.500 0.000  3.53
Cr2 0.250 0.750 0.500  3.53
Se1 0.560 0.125 0.250  -0.09
Se2 0.190 0.625 0.250  -0.08
Se3 0.375 0.440 0.750  -0.09
Se4 0.875 0.810 0.750  -0.08

***

(2)
Below is an optimized crystal structure of Cr2PbSe, with properties calculated at the PBE level.

Energy relative to the lowest polymorph listed for this composition (meV/atom): 387

a b c (Å): 4.856 4.856 4.856
angles (deg): 60.00 60.00 60.00
Site moments in Bohr magnetons follow the coordinates.
Sites, in units of the cell vectors:
Pb1 0.500 0.500 0.500  -0.10
Cr1 0.250 0.250 0.250  3.68
Cr2 0.750 0.750 0.750  3.68
Se1 0.000 0.000 0.000  -0.04

***

(3)
Below is an optimized crystal structure of Cr2PbSe, with properties calculated at the PBE level.

Energy relative to the lowest polymorph listed for this composition (meV/atom): 128

a b c (Å): 4.369 4.369 6.951
angles (deg): 82.49 82.49 42.77
Site moments in Bohr magnetons follow the coordinates.
Sites, in units of the cell vectors:
Cr1 0.991 0.991 0.044  2.73
Cr2 0.268 0.268 0.146  -2.16
Pb1 0.510 0.510 0.430  -0.03
Se1 0.730 0.730 0.880  0.04

***

(4)
Below is an optimized crystal structure of Cr2PbSe, with properties calculated at the PBE level.

Energy relative to the lowest polymorph listed for this composition (meV/atom): 0

a b c (Å): 3.325 3.325 7.438
angles (deg): 90.00 90.00 90.00
Site moments in Bohr magnetons follow the coordinates.
Sites, in units of the cell vectors:
Cr1 0.000 0.000 0.003  -2.97
Cr2 0.500 0.500 0.198  2.98
Pb1 0.000 0.000 0.443  0.00
Se1 0.500 0.500 0.856  0.13

***

(5)
Below is an optimized crystal structure of Cr2Pb2Se, with properties calculated at the PBE level.

Energy relative to the lowest polymorph listed for this composition (meV/atom): 0

a b c (Å): 3.426 3.426 9.158
angles (deg): 79.22 79.22 90.00
Sites, in units of the cell vectors:
Pb1 0.387 0.387 0.225
Pb2 0.613 0.613 0.775
Cr1 0.750 0.250 0.500
Cr2 0.250 0.750 0.500
Se1 0.000 0.000 0.000

***

(6)
Below is an optimized crystal structure of CrPb3Se, with properties calculated at the PBE level.

Energy relative to the lowest polymorph listed for this composition (meV/atom): 940

a b c (Å): 5.615 5.615 5.615
angles (deg): 90.00 90.00 90.00
Site moments in Bohr magnetons follow the coordinates.
Sites, in units of the cell vectors:
Pb1 0.000 0.500 0.000  0.01
Pb2 0.000 0.000 0.500  0.04
Pb3 0.500 0.000 0.000  0.01
Cr1 0.500 0.500 0.500  -0.72
Se1 0.000 0.000 0.000  0.01

***

(7)
Below is an optimized crystal structure of CrPbSe2, with properties calculated at the PBE level.

a b c (Å): 5.958 5.958 5.958
angles (deg): 144.55 124.48 67.62
Site moments in Bohr magnetons follow the coordinates.
Sites, in units of the cell vectors:
Cr1 0.750 0.250 0.500  3.13
Pb1 0.250 0.750 0.500  0.00
Se1 0.920 0.920 0.000  -0.12
Se2 0.580 0.580 0.000  -0.12

***

(8)
Below is an optimized crystal structure of Cr4PbSe8, with properties calculated at the PBE level.

a b c (Å): 7.183 7.183 8.405
angles (deg): 64.71 64.71 60.00
Site moments in Bohr magnetons follow the coordinates.
Sites, in units of the cell vectors:
Cr1 0.000 0.500 0.000  2.76
Cr2 0.500 0.500 0.000  2.76
Cr3 0.500 0.000 0.000  2.76
Cr4 0.000 0.000 0.000  2.88
Pb1 0.500 0.500 0.500  0.02
Se1 0.732 0.232 0.804  -0.16
Se2 0.768 0.268 0.196  -0.16
Se3 0.268 0.768 0.196  -0.16
Se4 0.768 0.768 0.196  -0.16
Se5 0.732 0.732 0.803  -0.21
Se6 0.268 0.268 0.197  -0.21
Se7 0.232 0.232 0.804  -0.16
Se8 0.232 0.732 0.804  -0.16

***

(9)
Below is an optimized crystal structure of Cr2PbSe4, with properties calculated at the PBE level.

a b c (Å): 7.949 7.949 7.942
angles (deg): 120.04 120.03 90.00
Site moments in Bohr magnetons follow the coordinates.
Sites, in units of the cell vectors:
Pb1 0.250 0.750 0.500  0.01
Pb2 0.000 0.000 0.000  0.01
Cr1 0.625 0.375 0.750  3.08
Cr2 0.625 0.875 0.250  3.08
Cr3 0.625 0.375 0.250  3.08
Cr4 0.125 0.375 0.750  3.08
Se1 0.853 0.146 0.293  -0.14
Se2 0.397 0.604 0.207  -0.14
Se3 0.854 0.560 0.707  -0.14
Se4 0.854 0.147 0.707  -0.14
Se5 0.440 0.146 0.293  -0.14
Se6 0.396 0.190 0.793  -0.14
Se7 0.396 0.603 0.793  -0.14
Se8 0.810 0.604 0.207  -0.14

***

(10)
Below is an optimized crystal structure of Cr2PbSe, with properties calculated at the PBE level.

Energy relative to the lowest polymorph listed for this composition (meV/atom): 343

a b c (Å): 4.868 4.868 3.416
angles (deg): 90.00 90.00 90.00
Site moments in Bohr magnetons follow the coordinates.
Sites, in units of the cell vectors:
Cr1 0.000 0.000 0.000  3.69
Cr2 0.500 0.500 0.000  3.69
Pb1 0.500 0.000 0.500  -0.11
Se1 0.000 0.500 0.500  -0.14

***

(11)
Below is an optimized crystal structure of CrPbSe2, with properties calculated at the PBE level.

a b c (Å): 3.711 3.711 7.715
angles (deg): 90.00 90.00 90.00
Site moments in Bohr magnetons follow the coordinates.
Sites, in units of the cell vectors:
Cr1 0.000 0.000 0.319  3.62
Pb1 0.500 0.500 0.809  0.04
Se1 0.000 0.000 0.986  -0.03
Se2 0.500 0.500 0.386  -0.11

***

(12)
Below is an optimized crystal structure of Cr2PbSe, with properties calculated at the PBE level.

Energy relative to the lowest polymorph listed for this composition (meV/atom): 327

a b c (Å): 5.853 5.853 5.853
angles (deg): 140.54 140.54 57.04
Site moments in Bohr magnetons follow the coordinates.
Sites, in units of the cell vectors:
Cr1 0.000 0.000 0.000  3.39
Cr2 0.250 0.750 0.500  3.69
Pb1 0.500 0.500 0.000  -0.13
Se1 0.750 0.250 0.500  -0.04

***

The records above yield ΔE_f (raw) values of -6.10; 11.51; 5.53; 2.58; 14.50; 28.30; -4.76; -11.30; -10.65; 10.49; -5.69; 10.13 kcal/mol of atoms, respectively.